Na2PuCoO5 | PBE with a Hubbard U | optimized geometry

Cell: 5.794 5.794 6.964 Å, 90.00 90.00 90.00°
Space group P4/mbm (No. 127)
One atom of each set of equivalent atoms:
Na  0.176  0.324  0.000
Pu  0.000  0.500  0.500
Co  0.000  0.000  0.500
O  0.000  0.000  0.000
O  0.204  0.704  0.324

Computed properties:
final energy = -117.2 eV/cell
V = 116.9 Å³/f.u.